# PBE YAgTe3Pb, optimized geometry
# Crystal system: orthorhombic
# Total magnetic moment, Bohr magnetons per cell: 0.0
data_YAgTe3Pb
_chemical_formula_sum 'Y4 Ag4 Te12 Pb4'
_space_group_name_H-M_alt 'C m c m'
_space_group_IT_number 63
_space_group_name_Hall '-C 2c 2'
_cell_length_a 4.328
_cell_length_b 14.853
_cell_length_c 11.224
_cell_angle_alpha 90.00
_cell_angle_beta 90.00
_cell_angle_gamma 90.00
loop_
_atom_site_label
_atom_site_fract_x
_atom_site_fract_y
_atom_site_fract_z
Y1 0.000 0.000 0.000
Ag1 0.000 0.469 0.250
Te1 0.000 0.093 0.250
Te2 0.000 0.354 0.052
Pb1 0.000 0.232 0.750


# PBE BeCdNi2, optimized geometry
# Crystal system: cubic
# Total magnetic moment, Bohr magnetons per cell: 0.0
data_BeCdNi2
_chemical_formula_sum 'Be4 Cd4 Ni8'
_space_group_name_H-M_alt 'F -4 3 m'
_space_group_IT_number 216
_space_group_name_Hall 'F -4 2 3'
_cell_length_a 5.809
_cell_length_b 5.809
_cell_length_c 5.809
_cell_angle_alpha 90.00
_cell_angle_beta 90.00
_cell_angle_gamma 90.00
loop_
_atom_site_label
_atom_site_fract_x
_atom_site_fract_y
_atom_site_fract_z
Be1 0.000 0.000 0.000
Cd1 0.250 0.250 0.250
Ni1 0.000 0.000 0.500
Ni2 0.250 0.250 0.750


# PBE Nd2SmCu4Ge4, optimized geometry
# Crystal system: orthorhombic
# Total magnetic moment, Bohr magnetons per cell: 0.0
data_Nd2SmCu4Ge4
_chemical_formula_sum 'Nd4 Sm2 Cu8 Ge8'
_space_group_name_H-M_alt 'I m m m'
_space_group_IT_number 71
_space_group_name_Hall '-I 2 2'
_cell_length_a 4.322
_cell_length_b 6.727
_cell_length_c 14.285
_cell_angle_alpha 90.00
_cell_angle_beta 90.00
_cell_angle_gamma 90.00
loop_
_atom_site_label
_atom_site_fract_x
_atom_site_fract_y
_atom_site_fract_z
Nd1 0.000 0.000 0.132
Sm1 0.000 0.500 0.000
Cu1 0.000 0.186 0.333
Ge1 0.000 0.309 0.500
Ge2 0.000 0.500 0.216


# PBE Hf4NiGeN2, optimized geometry
# Crystal system: hexagonal
# Total magnetic moment, Bohr magnetons per cell: 0.0
data_Hf4NiGeN2
_chemical_formula_sum 'Hf4 Ni1 Ge1 N2'
_space_group_name_H-M_alt 'P -6 m 2'
_space_group_IT_number 187
_space_group_name_Hall 'P -6 2'
_cell_length_a 3.2045
_cell_length_b 3.2045
_cell_length_c 13.3353
_cell_angle_alpha 90.00
_cell_angle_beta 90.00
_cell_angle_gamma 120.00
loop_
_atom_site_label
_atom_site_fract_x
_atom_site_fract_y
_atom_site_fract_z
Hf1 0.0000 0.0000 0.1456
Hf2 0.3333 0.6667 0.3396
Ni1 0.3333 0.6667 0.0000
Ge1 0.0000 0.0000 0.5000
N1 0.6667 0.3333 0.2432


# PBE NbIn2Pb2, optimized geometry
# Crystal system: tetragonal
# Total magnetic moment, Bohr magnetons per cell: 3.8
data_NbIn2Pb2
_chemical_formula_sum 'Nb2 In4 Pb4'
_space_group_name_H-M_alt 'I 4/m m m'
_space_group_IT_number 139
_space_group_name_Hall '-I 4 2'
_cell_length_a 4.212
_cell_length_b 4.212
_cell_length_c 13.954
_cell_angle_alpha 90.00
_cell_angle_beta 90.00
_cell_angle_gamma 90.00
loop_
_atom_site_label
_atom_site_fract_x
_atom_site_fract_y
_atom_site_fract_z
Nb1 0.000 0.000 0.000
In1 0.000 0.500 0.250
Pb1 0.000 0.000 0.402


# PBE AcInW, optimized geometry
# Crystal system: cubic
# Total magnetic moment, Bohr magnetons per cell: 7.2
data_AcInW
_chemical_formula_sum 'Ac4 In4 W4'
_space_group_name_H-M_alt 'F -4 3 m'
_space_group_IT_number 216
_space_group_name_Hall 'F -4 2 3'
_cell_length_a 7.045
_cell_length_b 7.045
_cell_length_c 7.045
_cell_angle_alpha 90.00
_cell_angle_beta 90.00
_cell_angle_gamma 90.00
loop_
_atom_site_label
_atom_site_fract_x
_atom_site_fract_y
_atom_site_fract_z
Ac1 0.000 0.000 0.000
In1 0.000 0.000 0.500
W1 0.250 0.250 0.750


# PBE SrBeCoP2, optimized geometry
# Crystal system: tetragonal
# Total magnetic moment, Bohr magnetons per cell: 0.0
data_SrBeCoP2
_chemical_formula_sum 'Sr2 Be2 Co2 P4'
_space_group_name_H-M_alt 'I -4 m 2'
_space_group_IT_number 119
_space_group_name_Hall 'I -4 -2'
_cell_length_a 3.754
_cell_length_b 3.754
_cell_length_c 11.650
_cell_angle_alpha 90.00
_cell_angle_beta 90.00
_cell_angle_gamma 90.00
loop_
_atom_site_label
_atom_site_fract_x
_atom_site_fract_y
_atom_site_fract_z
Sr1 0.000 0.000 0.000
Be1 0.000 0.500 0.250
Co1 0.000 0.500 0.750
P1 0.000 0.000 0.352


# PBE Na4ZnCdSn2, optimized geometry
# Crystal system: tetragonal
data_Na4ZnCdSn2
_chemical_formula_sum 'Na4 Zn1 Cd1 Sn2'
_space_group_name_H-M_alt 'P -4 m 2'
_space_group_IT_number 115
_cell_length_a 5.070
_cell_length_b 5.070
_cell_length_c 7.176
_cell_angle_alpha 90.00
_cell_angle_beta 90.00
_cell_angle_gamma 90.00
loop_
_space_group_symop_operation_xyz
'x,y,z'
'y,-x,-z'
'-x,-y,z'
'-y,x,-z'
'-x,y,z'
'-y,-x,-z'
'x,-y,z'
'y,x,-z'
loop_
_atom_site_label
_atom_site_fract_x
_atom_site_fract_y
_atom_site_fract_z
Na1 0.000 0.000 0.000
Na2 0.000 0.500 0.242
Na3 0.500 0.500 0.500
Zn1 0.500 0.500 0.000
Cd1 0.000 0.000 0.500
Sn1 0.000 0.500 0.759


# PBE PrPuPa, optimized geometry
# Crystal system: cubic
# Total magnetic moment, Bohr magnetons per cell: 1.3
# DFT formation energy, meV/atom: 1859
data_PrPuPa
_chemical_formula_sum 'Pr4 Pu4 Pa4'
_space_group_name_H-M_alt 'F -4 3 m'
_space_group_IT_number 216
_space_group_name_Hall 'F -4 2 3'
_cell_length_a 7.250
_cell_length_b 7.250
_cell_length_c 7.250
_cell_angle_alpha 90.00
_cell_angle_beta 90.00
_cell_angle_gamma 90.00
loop_
_atom_site_label
_atom_site_fract_x
_atom_site_fract_y
_atom_site_fract_z
Pr1 0.000 0.000 0.000
Pu1 0.250 0.250 0.250
Pa1 0.250 0.250 0.750


# PBE CoAg2Ge, optimized geometry
# Crystal system: cubic
# Total magnetic moment, Bohr magnetons per cell: 5.2
data_CoAg2Ge
_chemical_formula_sum 'Co4 Ag8 Ge4'
_space_group_name_H-M_alt 'F -4 3 m'
_space_group_IT_number 216
_space_group_name_Hall 'F -4 2 3'
_cell_length_a 6.271
_cell_length_b 6.271
_cell_length_c 6.271
_cell_angle_alpha 90.00
_cell_angle_beta 90.00
_cell_angle_gamma 90.00
loop_
_atom_site_label
_atom_site_fract_x
_atom_site_fract_y
_atom_site_fract_z
Co1 0.000 0.000 0.000
Ag1 0.000 0.000 0.500
Ag2 0.250 0.250 0.250
Ge1 0.250 0.250 0.750


# PBE HfHgNO, optimized geometry
# Crystal system: tetragonal
# Total magnetic moment, Bohr magnetons per cell: 0.0
data_HfHgNO
_chemical_formula_sum 'Hf2 Hg2 N2 O2'
_space_group_name_H-M_alt 'P 4/n m m'
_space_group_IT_number 129
_cell_length_a 4.366
_cell_length_b 4.366
_cell_length_c 5.906
_cell_angle_alpha 90.00
_cell_angle_beta 90.00
_cell_angle_gamma 90.00
loop_
_space_group_symop_operation_xyz
'x,y,z'
'-x,-y,-z'
'-y+1/2,x,z'
'y+1/2,-x,-z'
'-x+1/2,-y+1/2,z'
'x+1/2,y+1/2,-z'
'y,-x+1/2,z'
'-y,x+1/2,-z'
'x+1/2,-y,-z'
'-x+1/2,y,z'
'-y,-x,-z'
'y,x,z'
'-x,y+1/2,-z'
'x,-y+1/2,z'
'y+1/2,x+1/2,-z'
'-y+1/2,-x+1/2,z'
loop_
_atom_site_label
_atom_site_fract_x
_atom_site_fract_y
_atom_site_fract_z
Hf1 0.250 0.750 0.000
Hg1 0.250 0.250 0.372
N1 0.250 0.250 0.938
O1 0.250 0.750 0.500


# PBE SbPIrO, optimized geometry
# Crystal system: tetragonal
# Total magnetic moment, Bohr magnetons per cell: 0.0
data_SbPIrO
_chemical_formula_sum 'Sb2 P2 Ir2 O2'
_space_group_name_H-M_alt 'P 4/n m m'
_space_group_IT_number 129
_cell_length_a 3.891
_cell_length_b 3.891
_cell_length_c 8.725
_cell_angle_alpha 90.00
_cell_angle_beta 90.00
_cell_angle_gamma 90.00
loop_
_space_group_symop_operation_xyz
'x,y,z'
'-x,-y,-z'
'-y+1/2,x,z'
'y+1/2,-x,-z'
'-x+1/2,-y+1/2,z'
'x+1/2,y+1/2,-z'
'y,-x+1/2,z'
'-y,x+1/2,-z'
'x+1/2,-y,-z'
'-x+1/2,y,z'
'-y,-x,-z'
'y,x,z'
'-x,y+1/2,-z'
'x,-y+1/2,z'
'y+1/2,x+1/2,-z'
'-y+1/2,-x+1/2,z'
loop_
_atom_site_label
_atom_site_fract_x
_atom_site_fract_y
_atom_site_fract_z
Sb1 0.250 0.250 0.139
P1 0.250 0.250 0.653
Ir1 0.250 0.750 0.500
O1 0.250 0.750 0.000


# PBE TmInCu4, optimized geometry
# Crystal system: cubic
# Total magnetic moment, Bohr magnetons per cell: 0.0
data_TmInCu4
_chemical_formula_sum 'Tm4 In4 Cu16'
_space_group_name_H-M_alt 'F -4 3 m'
_space_group_IT_number 216
_space_group_name_Hall 'F -4 2 3'
_cell_length_a 7.176
_cell_length_b 7.176
_cell_length_c 7.176
_cell_angle_alpha 90.00
_cell_angle_beta 90.00
_cell_angle_gamma 90.00
loop_
_atom_site_label
_atom_site_fract_x
_atom_site_fract_y
_atom_site_fract_z
Tm1 0.000 0.000 0.000
In1 0.250 0.250 0.750
Cu1 0.125 0.125 0.375


# PBE Sc2Ni21B6, optimized geometry
# Crystal system: cubic
# Total magnetic moment, Bohr magnetons per cell: 1.8
data_Sc2Ni21B6
_chemical_formula_sum 'Sc8 Ni84 B24'
_space_group_name_H-M_alt 'F m -3 m'
_space_group_IT_number 225
_space_group_name_Hall '-F 4 2 3'
_cell_length_a 10.588
_cell_length_b 10.588
_cell_length_c 10.588
_cell_angle_alpha 90.00
_cell_angle_beta 90.00
_cell_angle_gamma 90.00
loop_
_atom_site_label
_atom_site_fract_x
_atom_site_fract_y
_atom_site_fract_z
Sc1 0.250 0.250 0.250
Ni1 0.000 0.000 0.000
Ni2 0.000 0.169 0.169
Ni3 0.114 0.114 0.386
B1 0.000 0.000 0.271


# PBE ZnHgTe2, optimized geometry
# Crystal system: tetragonal
data_ZnHgTe2
_chemical_formula_sum 'Zn1 Hg1 Te2'
_space_group_name_H-M_alt 'P -4 m 2'
_space_group_IT_number 115
_cell_length_a 4.531
_cell_length_b 4.531
_cell_length_c 6.425
_cell_angle_alpha 90.00
_cell_angle_beta 90.00
_cell_angle_gamma 90.00
loop_
_space_group_symop_operation_xyz
'x,y,z'
'y,-x,-z'
'-x,-y,z'
'-y,x,-z'
'-x,y,z'
'-y,-x,-z'
'x,-y,z'
'y,x,-z'
loop_
_atom_site_label
_atom_site_fract_x
_atom_site_fract_y
_atom_site_fract_z
Zn1 0.000 0.000 0.000
Hg1 0.500 0.500 0.500
Te1 0.000 0.500 0.229


# PBE PrMgAgTeSe2, optimized geometry
# Crystal system: orthorhombic
# Total magnetic moment, Bohr magnetons per cell: 0.0
data_PrMgAgTeSe2
_chemical_formula_sum 'Pr4 Mg4 Ag4 Te4 Se8'
_space_group_name_H-M_alt 'C m c m'
_space_group_IT_number 63
_space_group_name_Hall '-C 2c 2'
_cell_length_a 4.042
_cell_length_b 13.832
_cell_length_c 11.404
_cell_angle_alpha 90.00
_cell_angle_beta 90.00
_cell_angle_gamma 90.00
loop_
_atom_site_label
_atom_site_fract_x
_atom_site_fract_y
_atom_site_fract_z
Pr1 0.000 0.000 0.000
Mg1 0.000 0.206 0.250
Ag1 0.000 0.484 0.750
Te1 0.000 0.125 0.750
Se1 0.000 0.355 0.580


# PBE KPaSi, optimized geometry
# Crystal system: cubic
# Total magnetic moment, Bohr magnetons per cell: 8.0
data_KPaSi
_chemical_formula_sum 'K4 Pa4 Si4'
_space_group_name_H-M_alt 'F -4 3 m'
_space_group_IT_number 216
_space_group_name_Hall 'F -4 2 3'
_cell_length_a 7.146
_cell_length_b 7.146
_cell_length_c 7.146
_cell_angle_alpha 90.00
_cell_angle_beta 90.00
_cell_angle_gamma 90.00
loop_
_atom_site_label
_atom_site_fract_x
_atom_site_fract_y
_atom_site_fract_z
K1 0.000 0.000 0.000
Pa1 0.000 0.000 0.500
Si1 0.250 0.250 0.250


# PBE Gd2DyTl3AgPt2, optimized geometry
# Crystal system: orthorhombic
# Total magnetic moment, Bohr magnetons per cell: 0.0
data_Gd2DyTl3AgPt2
_chemical_formula_sum 'Gd4 Dy2 Tl6 Ag2 Pt4'
_space_group_name_H-M_alt 'A m m 2'
_space_group_IT_number 38
_cell_length_a 3.797
_cell_length_b 13.753
_cell_length_c 7.957
_cell_angle_alpha 90.00
_cell_angle_beta 90.00
_cell_angle_gamma 90.00
loop_
_space_group_symop_operation_xyz
'x,y,z'
'-x,-y,z'
'-x,y,z'
'x,-y,z'
'x,y+1/2,z+1/2'
'-x,-y+1/2,z+1/2'
'-x,y+1/2,z+1/2'
'x,-y+1/2,z+1/2'
loop_
_atom_site_label
_atom_site_fract_x
_atom_site_fract_y
_atom_site_fract_z
Gd1 0.000 0.205 0.000
Dy1 0.000 0.000 0.383
Tl1 0.500 0.000 0.064
Tl2 0.500 0.135 0.660
Ag1 0.000 0.000 0.794
Pt1 0.500 0.166 0.295


# PBE Dy2Tm2InCu2Ge4, optimized geometry
# Crystal system: monoclinic
# Total magnetic moment, Bohr magnetons per cell: 0.0
data_Dy2Tm2InCu2Ge4
_chemical_formula_sum 'Dy4 Tm4 In2 Cu4 Ge8'
_space_group_name_H-M_alt 'C 1 2/m 1'
_space_group_IT_number 12
_cell_length_a 15.554
_cell_length_b 4.245
_cell_length_c 7.090
_cell_angle_alpha 90.00
_cell_angle_beta 108.54
_cell_angle_gamma 90.00
loop_
_space_group_symop_operation_xyz
'x,y,z'
'-x,-y,-z'
'-x,y,-z'
'x,-y,z'
'x+1/2,y+1/2,z'
'-x+1/2,-y+1/2,-z'
'-x+1/2,y+1/2,-z'
'x+1/2,-y+1/2,z'
loop_
_atom_site_label
_atom_site_fract_x
_atom_site_fract_y
_atom_site_fract_z
Dy1 0.089 0.000 0.381
Tm1 0.153 0.000 0.931
In1 0.000 0.500 0.000
Cu1 0.218 0.500 0.634
Ge1 0.064 0.500 0.662
Ge2 0.199 0.500 0.246


# PBE Sm4C2ICl4, optimized geometry
# Crystal system: monoclinic
# Total magnetic moment, Bohr magnetons per cell: 0.0
data_Sm4C2ICl4
_chemical_formula_sum 'Sm8 C4 I2 Cl8'
_space_group_name_H-M_alt 'C 1 2/m 1'
_space_group_IT_number 12
_cell_length_a 18.697
_cell_length_b 3.895
_cell_length_c 8.475
_cell_angle_alpha 90.00
_cell_angle_beta 104.56
_cell_angle_gamma 90.00
loop_
_space_group_symop_operation_xyz
'x,y,z'
'-x,-y,-z'
'-x,y,-z'
'x,-y,z'
'x+1/2,y+1/2,z'
'-x+1/2,-y+1/2,-z'
'-x+1/2,y+1/2,-z'
'x+1/2,-y+1/2,z'
loop_
_atom_site_label
_atom_site_fract_x
_atom_site_fract_y
_atom_site_fract_z
Sm1 0.001 0.000 0.191
Sm2 0.161 0.500 0.096
C1 0.039 0.500 0.022
I1 0.000 0.500 0.500
Cl1 0.162 0.000 0.329
Cl2 0.171 0.000 0.858


| no. | E_tot (eV/atom) |
| --- | --- |
| 1 | -4.465 |
| 2 | -3.839 |
| 3 | -4.936 |
| 4 | -9.382 |
| 5 | -3.728 |
| 6 | -5.644 |
| 7 | -5.360 |
| 8 | -2.081 |
| 9 | -7.607 |
| 10 | -4.051 |
| 11 | -6.534 |
| 12 | -6.395 |
| 13 | -3.967 |
| 14 | -6.235 |
| 15 | -2.271 |
| 16 | -4.208 |
| 17 | -4.566 |
| 18 | -4.658 |
| 19 | -4.941 |
| 20 | -5.682 |